No. 1
Material: Ac2NdDyO6
Method: DFT, PBE
State: relaxed

Cell lengths 6.1027, 6.3009, 10.7169 Å; angles 90.00, 124.51, 90.00 degrees
Fractional coordinates of all 20 atoms:
Ac1 0.2346 0.0484 0.2507
Ac2 0.2346 0.4516 0.7507
Ac3 0.7654 0.5484 0.2493
Ac4 0.7654 0.9516 0.7493
Nd1 0.5000 0.0000 0.0000
Nd2 0.5000 0.5000 0.5000
Dy1 0.0000 0.0000 0.5000
Dy2 0.0000 0.5000 0.0000
O1 0.1192 0.2017 0.9294
O2 0.1192 0.2983 0.4294
O3 0.2322 0.6918 0.9327
O4 0.2322 0.8082 0.4327
O5 0.3712 0.0598 0.7441
O6 0.3712 0.4402 0.2441
O7 0.6288 0.5598 0.7559
O8 0.6288 0.9402 0.2559
O9 0.7678 0.1918 0.5673
O10 0.7678 0.3082 0.0673
O11 0.8808 0.7017 0.5706
O12 0.8808 0.7983 0.0706

Calculated values
* formation energy without anion corrections: -3.370 eV/atom
* Fermi-level density of states: 0.00 states/eV per atom
* symmetry: P2_1/c

***

No. 2
Material: Dy2ThAu4
Method: DFT, PBE
State: relaxed

Cell lengths 6.1258, 6.1258, 5.1020 Å; angles 90.00, 90.00, 107.14 degrees
Fractional coordinates of all 7 atoms:
Dy1 0.2132 0.7868 0.0000
Dy2 0.7868 0.2132 0.0000
Th1 0.5000 0.5000 0.5000
Au1 0.0000 0.5000 0.5000
Au2 0.2889 0.2889 0.0000
Au3 0.5000 0.0000 0.5000
Au4 0.7111 0.7111 0.0000

Calculated values
* energy of formation: -644 meV/atom
* Fermi-level density of states: 0.76 states/eV per atom
* symmetry: Cmmm